Crystalline ScBiPd14 at its relaxed geometry, computed with PBE.

Lattice parameters (Å, degrees): 5.715 5.715 7.898 90.00 90.00 90.00
Element x y z (fractional)
Sc  0.875  0.875  0.500
Bi  0.375  0.375  0.500
Pd  0.875  0.875  0.000
Pd  0.375  0.375  0.000
Pd  0.875  0.375  0.500
Pd  0.875  0.375  0.000
Pd  0.375  0.875  0.500
Pd  0.375  0.875  0.000
Pd  0.628  0.122  0.247
Pd  0.628  0.122  0.753
Pd  0.122  0.628  0.247
Pd  0.122  0.628  0.753
Pd  0.628  0.628  0.247
Pd  0.628  0.628  0.753
Pd  0.122  0.122  0.247
Pd  0.122  0.122  0.753

Properties
Total magnetization: 0.001 μB/cell
Space-group type: No. 123


Crystalline Sc6BiPd5 at its relaxed geometry, computed with PBE.

Lattice parameters (Å, degrees): 4.775 6.762 8.271 114.13 106.78 90.00
Element x y z (fractional)
Sc  0.174  0.434  0.348
Sc  0.174  0.915  0.348
Sc  0.500  0.269  0.000
Sc  0.500  0.731  0.000
Sc  0.826  0.085  0.652
Sc  0.826  0.566  0.652
Bi  0.000  0.000  0.000
Pd  0.334  0.834  0.669
Pd  0.665  0.665  0.330
Pd  0.000  0.500  0.000
Pd  0.335  0.335  0.670
Pd  0.666  0.166  0.331

Properties
Total magnetization: 0.000 μB/cell
Space-group type: No. 71


Crystalline ScBi3Pd at its relaxed geometry, computed with PBE.

Lattice parameters (Å, degrees): 5.371 5.371 5.371 90.00 90.00 90.00
Element x y z (fractional)
Sc  0.500  0.500  0.500
Bi  0.000  0.500  0.000
Bi  0.000  0.000  0.500
Bi  0.500  0.000  0.000
Pd  0.000  0.000  0.000

Properties
Total magnetization: 0.000 μB/cell
Space-group type: No. 221


no.,N(E_F) (states/eV per cell),V (A^3/atom),uncorrected energy (eV per cell)
1,25.48,16.1,-87.166
2,7.94,19.3,-77.454
3,4.90,31.0,-22.215